No. 1
A relaxed structure of Zr2ZnH3, computed with PBE-GGA.

Properties
SG ... C2/m (12)
VASP energy ... -5.07 eV per atom

abc: 7.005 7.005 6.577
angles: 114.01 114.01 28.57
Fractional coordinates of all 12 atoms:
1 Zr 0.023 0.023 0.265
2 Zr 0.295 0.295 0.302
3 Zr 0.705 0.705 0.698
4 Zr 0.977 0.977 0.735
5 Zn 0.375 0.375 0.956
6 Zn 0.625 0.625 0.044
7 H 0.104 0.104 0.643
8 H 0.193 0.193 0.476
9 H 0.432 0.432 0.579
10 H 0.568 0.568 0.421
11 H 0.807 0.807 0.524
12 H 0.896 0.896 0.357

***

No. 2
A relaxed structure of Zr2Zn2H, computed with PBE-GGA.

Properties
SG ... I4/mmm (139)
VASP energy ... -3.74 eV per atom
Excess energy over the best structure of this formula in the dataset ... 89.6 kJ/mol of atoms

abc: 7.290 7.290 7.290
angles: 148.19 148.19 45.61
Fractional coordinates of all 5 atoms:
1 Zr 0.250 0.750 0.500
2 Zr 0.750 0.250 0.500
3 Zn 0.089 0.089 0.000
4 Zn 0.911 0.911 0.000
5 H 0.500 0.500 0.000